The following is a PBEsol calculation of a relaxed structure of Li4V3Fe2O10, from Alexandria via LeMat-Bulk.

Summary:
Formation energy from raw total energies in eV/atom: -1.964
Space group: P1 (1)
Electronic total energy in eV per atom: -7.605

```
19
Lattice="4.911 0.000 0.000 0.869 4.873 0.000 2.199 1.887 7.185" Properties=species:S:1:pos:R:3 pbc="T T T"
Li 0.000 0.000 0.000
Li 1.622 2.945 1.982
Li 3.972 4.099 6.394
Li 4.116 2.469 0.628
V 2.971 5.926 4.382
V 4.082 3.241 3.627
V 5.737 5.541 2.964
Fe 3.268 5.136 1.306
Fe 5.547 6.293 6.007
O 0.694 1.298 1.399
O 2.459 4.439 3.274
O 3.212 2.460 5.213
O 2.459 3.629 0.378
O 3.186 1.746 2.689
O 4.696 4.887 4.569
O 5.446 2.904 6.954
O 4.851 4.048 1.991
O 5.622 2.237 3.978
O 7.257 5.338 5.931
```

The following is a PBEsol calculation of a relaxed structure of LiVFeO4, from Alexandria via LeMat-Bulk.

Summary:
Formation energy from raw total energies in eV/atom: -1.985
Space group: Imma (74)
Electronic total energy in eV per atom: -7.922
E above lowest polymorph in eV/atom: 0.000

```
14
Lattice="-2.863 2.929 4.090 2.863 -2.929 4.090 2.863 2.929 -4.090" Properties=species:S:1:pos:R:3 pbc="T T T"
Li 0.000 0.000 0.000
Li 0.000 2.929 0.000
V 2.863 1.464 1.001
V 0.000 1.464 3.089
Fe 1.432 1.464 -2.045
Fe 1.432 -1.464 2.045
O 1.483 1.464 -0.033
O 4.243 1.464 -0.033
O 2.863 0.016 2.007
O 0.000 0.016 2.084
O 2.863 2.913 2.007
O 0.000 2.913 2.084
O -1.380 1.464 4.123
O 1.380 1.464 4.123
```

The following is a PBEsol calculation of a relaxed structure of Li3V4FeO8, from Alexandria via LeMat-Bulk.

Summary:
Formation energy from raw total energies in eV/atom: -2.032
Space group: C2/m (12)
Electronic total energy in eV per atom: -7.994

```
16
Lattice="4.951 -2.857 0.000 4.951 2.857 0.000 -3.308 0.000 4.798" Properties=species:S:1:pos:R:3 pbc="T T T"
Li 0.000 0.000 0.000
Li 2.476 1.428 0.000
Li 2.476 -1.428 0.000
V -1.654 0.000 2.399
V 0.822 1.428 2.399
V 0.822 -1.428 2.399
V 4.951 0.000 0.000
Fe 3.297 0.000 2.399
O 4.139 1.462 1.163
O 2.456 1.462 3.635
O -0.006 0.000 3.603
O 1.609 0.000 1.269
O 4.985 0.000 3.529
O 6.601 0.000 1.195
O 4.139 -1.462 1.163
O 2.456 -1.462 3.635
```

The following is a PBEsol calculation of a relaxed structure of Li5V5Fe2O12, from Alexandria via LeMat-Bulk.

Summary:
Formation energy from raw total energies in eV/atom: -2.014
Space group: C2 (5)
Electronic total energy in eV per atom: -7.802

```
24
Lattice="2.517 -4.252 0.000 2.517 4.252 0.000 -1.728 0.000 9.459" Properties=species:S:1:pos:R:3 pbc="T T T"
Li 0.000 0.000 0.000
Li -0.089 0.087 7.169
Li 0.780 -1.379 2.252
Li 3.395 0.087 2.290
Li 2.526 -1.379 7.207
V 0.840 1.441 2.325
V 1.653 2.889 4.730
V 1.653 -0.152 4.730
V 2.466 1.441 7.134
V 2.517 -1.340 0.000
Fe 2.517 1.424 0.000
Fe 1.653 -2.651 4.730
O 1.615 2.869 1.204
O 0.003 0.018 3.563
O 0.868 1.385 5.845
O 1.691 2.869 8.255
O 1.635 0.047 1.222
O 2.438 1.385 3.615
O 0.751 -1.375 5.998
O 1.671 0.047 8.237
O 1.747 -2.755 1.170
O 2.555 -1.375 3.461
O 3.303 0.018 5.897
O 1.559 -2.755 8.290
```

The following is a PBEsol calculation of a relaxed structure of Li2VFe3O8, from Alexandria via LeMat-Bulk.

Summary:
Formation energy from raw total energies in eV/atom: -1.721
Space group: R-3m (166)
Electronic total energy in eV per atom: -7.611
E above lowest polymorph in eV/atom: 0.006

```
14
Lattice="2.850 1.646 4.522 -2.850 1.646 4.522 0.000 -3.291 4.522" Properties=species:S:1:pos:R:3 pbc="T T T"
Li 0.000 0.000 1.668
Li 0.000 0.000 11.898
V 0.000 0.000 6.783
Fe -1.425 -0.823 4.522
Fe -1.425 0.823 9.044
Fe 0.000 1.646 4.522
O 0.000 -1.504 5.590
O -1.303 0.752 5.590
O 0.000 0.000 3.580
O -1.303 -0.752 7.975
O 1.303 0.752 5.590
O 0.000 0.000 9.986
O 1.303 -0.752 7.975
O 0.000 1.504 7.975
```

The following is a PBEsol calculation of a relaxed structure of Li2VFe3O8, from Alexandria via LeMat-Bulk.

Summary:
Formation energy from raw total energies in eV/atom: -1.727
Space group: P4_332 (212)
Electronic total energy in eV per atom: -7.617
E above lowest polymorph in eV/atom: 0.000

```
56
Lattice="7.973 0.000 0.000 0.000 7.973 0.000 0.000 0.000 7.973" Properties=species:S:1:pos:R:3 pbc="T T T"
Li 0.079 3.907 4.066
Li 1.914 5.900 6.059
Li 2.072 2.072 2.072
Li 3.907 4.066 0.079
Li 4.066 0.079 3.907
Li 5.900 6.059 1.914
Li 6.059 1.914 5.900
Li 7.894 7.894 7.894
V 0.997 6.976 2.990
V 2.990 0.997 6.976
V 4.983 4.983 4.983
V 6.976 2.990 0.997
Fe 0.940 4.983 1.053
Fe 0.997 2.933 7.033
Fe 1.053 0.940 4.983
Fe 2.933 7.033 0.997
Fe 2.990 5.040 3.047
Fe 3.047 2.990 5.040
Fe 4.926 6.976 6.920
Fe 4.983 1.053 0.940
Fe 5.040 3.047 2.990
Fe 6.920 4.926 6.976
Fe 6.976 6.920 4.926
Fe 7.033 0.997 2.933
O 0.825 4.811 7.148
O 0.909 7.019 4.915
O 0.929 3.077 0.954
O 0.954 0.929 3.077
O 1.039 6.889 1.064
O 1.064 1.039 6.889
O 1.084 5.051 2.947
O 1.168 2.818 5.155
O 2.818 5.155 1.168
O 2.903 2.922 6.934
O 2.922 6.934 2.903
O 2.947 1.084 5.051
O 3.032 7.044 7.063
O 3.057 4.896 4.940
O 3.077 0.954 0.929
O 3.162 3.162 3.162
O 4.811 7.148 0.825
O 4.896 4.940 3.057
O 4.915 0.909 7.019
O 4.940 3.057 4.896
O 5.026 5.070 6.909
O 5.051 2.947 1.084
O 5.070 6.909 5.026
O 5.155 1.168 2.818
O 6.805 6.805 6.805
O 6.889 1.064 1.039
O 6.909 5.026 5.070
O 6.934 2.903 2.922
O 7.019 4.915 0.909
O 7.044 7.063 3.032
O 7.063 3.032 7.044
O 7.148 0.825 4.811
```

The following is a PBEsol calculation of a relaxed structure of Li4Fe3WO8, from Alexandria via LeMat-Bulk.

Summary:
Formation energy from raw total energies in eV/atom: -1.668
Space group: R-3m (166)
Electronic total energy in eV per atom: -7.328

```
16
Lattice="2.927 1.690 4.886 -2.927 1.690 4.886 0.000 -3.380 4.886" Properties=species:S:1:pos:R:3 pbc="T T T"
Li 0.000 0.000 0.000
Li -1.464 -0.845 4.886
Li -1.464 0.845 9.773
Li 0.000 1.690 4.886
Fe -2.927 0.000 7.329
Fe -1.464 0.845 2.443
Fe 1.464 0.845 2.443
W 0.000 0.000 7.329
O 0.000 0.000 3.553
O 0.000 -1.592 6.139
O -1.379 0.796 6.139
O -1.379 -0.796 8.520
O 1.379 0.796 6.139
O 1.379 -0.796 8.520
O 0.000 1.592 8.520
O 0.000 0.000 11.106
```

The following is a PBEsol calculation of a relaxed structure of Li3Fe3WO8, from Alexandria via LeMat-Bulk.

Summary:
Formation energy from raw total energies in eV/atom: -1.603
Space group: C2/m (12)
Electronic total energy in eV per atom: -7.509

```
15
Lattice="4.704 -2.944 0.000 4.704 2.944 0.000 -3.097 0.000 4.932" Properties=species:S:1:pos:R:3 pbc="T T T"
Li 0.000 0.000 0.000
Li 2.352 1.472 0.000
Li 2.352 -1.472 0.000
Fe 0.804 1.472 2.466
Fe 0.804 -1.472 2.466
Fe 3.156 0.000 2.466
W -1.548 0.000 2.466
O 2.391 1.555 3.620
O 3.920 1.555 1.312
O 0.090 0.000 3.574
O 1.514 0.000 1.390
O 4.797 0.000 3.542
O 6.221 0.000 1.358
O 2.391 -1.555 3.620
O 3.920 -1.555 1.312
```